1.
VASP calculation (PBE) on an optimized crystal structure of Pm2Y5Er12.

a b c (Å): 15.8134 9.1441 8.4787
angles (deg): 90.00 91.29 90.00
Last column: nearest neighbours and their distance in Å.
Space group C2/m (No. 12)
One atom of each set of equivalent atoms:
Pm1 0.0000 0.1851 0.0000  8 Er 3.37-3.59, 1 Pm 3.38, 2 Y 3.55
Y1 0.0000 0.5000 0.5000  10 Er 3.55-3.71, 2 Y 3.74
Y2 0.1976 0.0000 0.0066  8 Er 3.40-3.63, 2 Pm 3.55, 1 Y 3.67
Y3 0.2338 0.5000 0.5765  10 Er 3.36-3.69, 2 Y 3.67-3.74
Er1 0.0558 0.0000 0.3297  2 Pm 3.37, 7 Er 3.38-3.42, 2 Y 3.40-3.58
Er2 0.0939 0.5000 0.8847  2 Pm 3.39, 3 Y 3.40-3.55, 5 Er 3.48-3.60
Er3 0.1262 0.1922 0.6534  4 Y 3.36-3.67, 6 Er 3.38-3.68, 1 Pm 3.59
Er4 0.1564 0.3185 0.2461  5 Er 3.32-3.68, 1 Pm 3.42, 5 Y 3.46-3.71

Properties
**Crystal system**: monoclinic
**Energy relative to the elements**: 128 meV/atom
**Energy relative to the lowest polymorph listed for this composition**: 1.157 eV/f.u.

***

2.
VASP calculation (PBE) on an optimized crystal structure of ZnCdPd.

a b c (Å): 3.1770 3.1770 9.9977
angles (deg): 90.00 90.00 90.00
Last column: nearest neighbours and their distance in Å.
Space group P4/nmm (No. 129, origin choice 2)
One atom of each set of equivalent atoms:
Zn1 0.2500 0.2500 0.0744  5 Pd 2.63-2.85, 4 Zn 2.69
Cd1 0.2500 0.2500 0.3906  4 Pd 2.88, 8 Cd 3.14-3.18, 1 Zn 3.16
Pd1 0.2500 0.2500 0.7891  5 Zn 2.63-2.85, 4 Cd 2.88

Properties
**Crystal system**: tetragonal
**Energy relative to the elements**: -330 meV/atom
**Energy relative to the lowest polymorph listed for this composition**: 0.000 eV/f.u.

***

3.
VASP calculation (PBE) on an optimized crystal structure of MnCr2Te.

a b c (Å): 3.1816 3.1816 23.5710
angles (deg): 90.00 90.00 120.00
Last column: nearest neighbours and their distance in Å.
Space group R-3m (No. 166, hexagonal axes)
One atom of each set of equivalent atoms:
Mn1 0.0000 0.0000 0.0000  6 Cr 2.53
Cr1 0.0000 0.0000 0.2598  3 Mn 2.53
Te1 0.0000 0.0000 0.5000  6 Cr 2.86, 6 Te 3.18

Properties
**Energy relative to the elements, uncorrected**: 0.55 eV/atom
**Crystal system**: trigonal

***

4.
VASP calculation (PBE) on an optimized crystal structure of ZnNi3Cl.

a b c (Å): 4.1537 4.1537 4.1537
angles (deg): 90.00 90.00 90.00
Last column: nearest neighbours and their distance in Å.
Space group Pm-3m (No. 221)
One atom of each set of equivalent atoms:
Zn1 0.0000 0.0000 0.0000  12 Ni 2.94
Ni1 0.0000 0.5000 0.5000  2 Cl 2.08
Cl1 0.5000 0.5000 0.5000  6 Ni 2.08

Properties
**Energy relative to the elements, uncorrected**: 0.54 eV/atom
**Crystal system**: cubic
**Energy relative to the lowest polymorph listed for this composition**: 0.000 eV/f.u.

***

5.
VASP calculation (PBE) on an optimized crystal structure of Co2P.

a b c (Å): 3.3771 3.3771 22.6132
angles (deg): 90.00 90.00 90.00
Last column: nearest neighbours and their distance in Å.
Space group I4_1/amd (No. 141, origin choice 2)
One atom of each set of equivalent atoms:
Co1 0.0000 0.2500 0.1238  4 P 2.30-2.34, 8 Co 2.39-2.53
Co2 0.0000 0.2500 0.7927  4 P 2.40, 6 Co 2.49-2.57
P1 0.0000 0.2500 0.3045  8 Co 2.30-2.40

Properties
**Crystal system**: tetragonal
**Energy relative to the elements**: -197 meV/atom

***

6.
VASP calculation (PBE) on an optimized crystal structure of Ru4W11.

a b c (Å): 9.6949 9.6949 5.0138
angles (deg): 90.00 90.00 90.00
Last column: nearest neighbours and their distance in Å.
Space group P4_2/mnm (No. 136)
One atom of each set of equivalent atoms:
Ru1 0.0679 0.2629 0.0000  9 W 2.63-2.85, 1 Ru 2.67
W1 0.0000 0.0000 0.0000  4 Ru 2.63, 8 W 2.81-2.86
W2 0.0361 0.3694 0.5000  2 W 2.63-2.68, 4 Ru 2.72-2.74
W3 0.1005 0.1005 0.5000  5 W 2.68-2.86, 4 Ru 2.98
W4 0.1836 0.8164 0.2504  2 W 2.50-2.51, 2 Ru 2.76

Properties
**Crystal system**: tetragonal
**Energy relative to the elements**: 58 meV/atom

***

7.
VASP calculation (PBE) on an optimized crystal structure of Na2MnBS4.

a b c (Å): 5.4857 12.3487 20.7699
angles (deg): 90.00 90.00 90.00
Last column: nearest neighbours and their distance in Å.
Space group Fddd (No. 70, origin choice 2)
One atom of each set of equivalent atoms:
Na1 0.1250 0.1250 0.3122  4 S 3.02-3.15
Mn1 0.1250 0.1250 0.1250  4 S 2.26
B1 0.1250 0.1250 0.6250  4 S 1.95
S1 0.0824 0.2780 0.8251  1 B 1.95

Properties
**Energy relative to the elements, uncorrected**: -0.64 eV/atom
**Crystal system**: orthorhombic

***

8.
VASP calculation (PBE) on an optimized crystal structure of Tm2HSe.

a b c (Å): 3.6838 3.6838 21.8372
angles (deg): 90.00 90.00 120.00
Last column: nearest neighbours and their distance in Å.
Space group R3m (No. 160, hexagonal axes)
One atom of each set of equivalent atoms:
Tm1 0.0000 0.0000 0.0000  3 Se 2.85
Tm2 0.0000 0.0000 0.1613  3 H 2.16
H1 0.0000 0.0000 0.8112  3 Tm 2.16
Se1 0.0000 0.0000 0.5801  6 Tm 2.83-2.85, 3 H 3.08

Properties
**Crystal system**: trigonal
**Energy relative to the lowest polymorph listed for this composition**: 0.769 eV/f.u.

***

9.
VASP calculation (PBE) on an optimized crystal structure of ErHfMgGa.

a b c (Å): 6.9908 6.9908 6.9908
angles (deg): 90.00 90.00 90.00
Last column: nearest neighbours and their distance in Å.
Space group F-43m (No. 216)
One atom of each set of equivalent atoms:
Er1 0.0000 0.0000 0.0000  4 Mg 3.03, 4 Ga 3.03
Hf1 0.0000 0.0000 0.5000  4 Mg 3.03, 4 Ga 3.03
Mg1 0.2500 0.2500 0.7500  4 Hf 3.03, 4 Er 3.03
Ga1 0.2500 0.2500 0.2500  4 Hf 3.03, 4 Er 3.03

Properties
**Crystal system**: cubic
**Energy relative to the elements**: -153 meV/atom

***

10.
VASP calculation (PBE) on an optimized crystal structure of Ca7Ac6.

a b c (Å): 7.1287 7.1287 39.5923
angles (deg): 90.00 90.00 120.00
Last column: nearest neighbours and their distance in Å.
Space group R-3m (No. 166, hexagonal axes)
One atom of each set of equivalent atoms:
Ca1 0.0000 0.0000 0.0000  6 Ca 3.68
Ca2 0.0035 0.5017 0.4100  5 Ca 3.53-3.68
Ac1 0.0000 0.0000 0.1660  6 Ca 4.10-4.13, 9 Ac 4.12-4.50
Ac2 0.0000 0.0000 0.3485  12 Ca 4.16-4.32, 4 Ac 4.21-4.29
Ac3 0.0000 0.0000 0.4548  1 Ac 3.58, 6 Ca 3.98

Properties
**Crystal system**: trigonal
**Energy relative to the elements**: 166 meV/atom

***

11.
VASP calculation (PBE) on an optimized crystal structure of Hf2Sc2Os.

a b c (Å): 3.2007 7.0666 9.7660
angles (deg): 90.00 90.00 90.00
Last column: nearest neighbours and their distance in Å.
Space group Immm (No. 71)
One atom of each set of equivalent atoms:
Hf1 0.0000 0.2004 0.0000  2 Os 2.65, 1 Hf 2.83
Sc1 0.0000 0.5000 0.2436  2 Os 2.87, 2 Hf 3.18, 2 Sc 3.20
Os1 0.0000 0.0000 0.5000  4 Hf 2.65, 4 Sc 2.87

Properties
**Crystal system**: orthorhombic
**Energy relative to the elements**: -158 meV/atom
**Energy relative to the lowest polymorph listed for this composition**: 0.000 eV/f.u.

***

12.
VASP calculation (PBE) on an optimized crystal structure of KSmHg2.

a b c (Å): 3.8678 3.8678 8.3651
angles (deg): 90.00 90.00 90.00
Last column: nearest neighbours and their distance in Å.
Space group P4/mmm (No. 123)
One atom of each set of equivalent atoms:
K1 0.0000 0.0000 0.0000  8 Hg 3.67, 4 K 3.87
Sm1 0.0000 0.0000 0.5000  8 Hg 3.24
Hg1 0.5000 0.5000 0.2934  4 Sm 3.24, 1 Hg 3.46

Properties
**Crystal system**: tetragonal
**Energy relative to the elements**: -296 meV/atom
**Energy relative to the lowest polymorph listed for this composition**: 0.000 eV/f.u.

***

13.
VASP calculation (PBE) on an optimized crystal structure of BaCr2As.

a b c (Å): 4.8444 4.8444 17.5291
angles (deg): 90.00 90.00 90.00
Last column: nearest neighbours and their distance in Å.
Space group I4_1/amd (No. 141, origin choice 2)
One atom of each set of equivalent atoms:
Ba1 0.0000 0.2500 0.3750  4 As 3.43, 8 Cr 3.48
Cr1 0.0000 0.0000 0.0000  2 Cr 2.42, 2 As 2.50
As1 0.0000 0.2500 0.8750  4 Cr 2.50

Properties
**Crystal system**: tetragonal
**Energy relative to the elements**: 385 meV/atom

***

14.
VASP calculation (PBE) on an optimized crystal structure of Er8Tm2Pb.

a b c (Å): 5.3551 7.3808 17.3300
angles (deg): 90.00 90.00 90.00
Last column: nearest neighbours and their distance in Å.
Space group Immm (No. 71)
One atom of each set of equivalent atoms:
Er1 0.0000 0.0000 0.1836  8 Er 3.40-3.72, 4 Tm 3.43-3.69
Er2 0.0000 0.2346 0.3594  1 Pb 3.13, 3 Tm 3.32-3.49, 3 Er 3.40-3.46
Er3 0.0000 0.2616 0.0000  2 Pb 3.30, 5 Er 3.52-3.62
Tm1 0.0000 0.5000 0.1931  10 Er 3.32-3.69
Pb1 0.0000 0.5000 0.5000  8 Er 3.13-3.30

Properties
**Crystal system**: orthorhombic
**Energy relative to the elements**: -9 meV/atom
**Energy relative to the lowest polymorph listed for this composition**: 0.476 eV/f.u.

***

15.
VASP calculation (PBE) on an optimized crystal structure of SmZn2Ga.

a b c (Å): 4.2549 4.2549 4.4914
angles (deg): 90.00 90.00 90.00
Last column: nearest neighbours and their distance in Å.
Space group P4/mmm (No. 123)
One atom of each set of equivalent atoms:
Sm1 0.0000 0.0000 0.0000  4 Ga 3.01, 8 Zn 3.09
Zn1 0.0000 0.5000 0.5000  4 Zn 3.01, 4 Sm 3.09, 4 Ga 3.09
Ga1 0.5000 0.5000 0.0000  4 Sm 3.01, 8 Zn 3.09

Properties
**Crystal system**: tetragonal
**Energy relative to the elements**: -323 meV/atom

***

16.
VASP calculation (PBE) on an optimized crystal structure of Pu3Pd.

a b c (Å): 3.5681 5.1356 8.7815
angles (deg): 90.00 90.00 90.00
Last column: nearest neighbours and their distance in Å.
Space group Immm (No. 71)
One atom of each set of equivalent atoms:
Pu1 0.0000 0.0000 0.0000  4 Pu 2.69
Pu2 0.0000 0.5000 0.2704  2 Pu 2.69, 2 Pd 2.97
Pd1 0.0000 0.0000 0.5000  12 Pu 2.97-3.26

Properties
**Crystal system**: orthorhombic
**Energy relative to the elements**: -65 meV/atom
**Energy relative to the lowest polymorph listed for this composition**: 0.000 eV/f.u.

***

17.
VASP calculation (PBE) on an optimized crystal structure of PmTaOs2W.

a b c (Å): 4.3784 4.3784 10.6589
angles (deg): 90.00 90.00 90.00
Last column: nearest neighbours and their distance in Å.
Space group I-4m2 (No. 119)
One atom of each set of equivalent atoms:
Pm1 0.0000 0.0000 0.0000  8 Os 3.36, 4 Ta 3.45, 4 W 3.45
Ta1 0.0000 0.5000 0.2500  4 Os 2.58
Os1 0.0000 0.0000 0.3779  2 Ta 2.58, 2 W 2.58, 1 Os 2.60
W1 0.0000 0.5000 0.7500  4 Os 2.58

Properties
**Crystal system**: tetragonal
**Energy relative to the elements**: -183 meV/atom

***

18.
VASP calculation (PBE) on an optimized crystal structure of FeSi2Au.

a b c (Å): 3.0884 4.0304 5.0143
angles (deg): 90.00 99.30 90.00
Last column: nearest neighbours and their distance in Å.
Space group P2/m (No. 10)
One atom of each set of equivalent atoms:
Fe1 0.0000 0.0000 0.0000  4 Si 2.37
Si1 0.3133 0.5000 0.1940  2 Fe 2.37, 2 Si 2.42-2.51, 2 Au 2.54
Au1 0.5000 0.0000 0.5000  4 Si 2.54, 2 Fe 2.72

Properties
**Energy relative to the elements, uncorrected**: 0.15 eV/atom
**Crystal system**: monoclinic
**Energy relative to the lowest polymorph listed for this composition**: 0.927 eV/f.u.

***

19.
VASP calculation (PBE) on an optimized crystal structure of HoHf2Sc.

a b c (Å): 3.2357 3.2357 32.1285
angles (deg): 90.00 90.00 120.00
Last column: nearest neighbours and their distance in Å.
Space group R-3m (No. 166, hexagonal axes)
One atom of each set of equivalent atoms:
Ho1 0.0000 0.0000 0.0000  6 Ho 3.24, 6 Hf 3.32
Hf1 0.0000 0.0000 0.2479  3 Sc 3.21, 6 Hf 3.24, 3 Ho 3.32
Sc1 0.0000 0.0000 0.5000  6 Hf 3.21, 6 Sc 3.24

Properties
**Crystal system**: trigonal
**Energy relative to the elements**: 134 meV/atom
**Energy relative to the lowest polymorph listed for this composition**: 0.182 eV/f.u.

***

20.
VASP calculation (PBE) on an optimized crystal structure of PuMg2Al.

a b c (Å): 7.0562 7.0562 7.0562
angles (deg): 90.00 90.00 90.00
Last column: nearest neighbours and their distance in Å.
Space group Fm-3m (No. 225)
One atom of each set of equivalent atoms:
Pu1 0.0000 0.0000 0.0000  8 Mg 3.06
Mg1 0.2500 0.2500 0.2500  4 Al 3.06, 4 Pu 3.06
Al1 0.0000 0.0000 0.5000  8 Mg 3.06

Properties
**Crystal system**: cubic
**Energy relative to the elements**: 79 meV/atom
**Energy relative to the lowest polymorph listed for this composition**: 0.110 eV/f.u.

***

21.
VASP calculation (PBE) on an optimized crystal structure of KCaNO2.

a b c (Å): 4.5444 4.5444 4.8490
angles (deg): 90.00 90.00 90.00
Last column: nearest neighbours and their distance in Å.
Space group P4/mmm (No. 123)
One atom of each set of equivalent atoms:
K1 0.0000 0.0000 0.0000  4 N 3.21, 8 O 3.32
Ca1 0.5000 0.5000 0.5000  4 O 2.27, 2 N 2.42
N1 0.5000 0.5000 0.0000  2 Ca 2.42
O1 0.0000 0.5000 0.5000  2 Ca 2.27

Properties
**Energy relative to the elements, uncorrected**: -0.30 eV/atom
**Crystal system**: tetragonal

***

22.
VASP calculation (PBE) on an optimized crystal structure of Pu2BeRh3.

a b c (Å): 5.5364 5.5364 11.2977
angles (deg): 90.00 90.00 120.00
Last column: nearest neighbours and their distance in Å.
Space group R-3m (No. 166, hexagonal axes)
One atom of each set of equivalent atoms:
Pu1 0.0000 0.0000 0.1259  9 Rh 2.84-3.11, 1 Pu 2.85
Be1 0.0000 0.0000 0.5000  6 Rh 2.47
Rh1 0.0000 0.5000 0.0000  2 Be 2.47

Properties
**Crystal system**: trigonal
**Energy relative to the elements**: -560 meV/atom

***

23.
VASP calculation (PBE) on an optimized crystal structure of Zr2MnCl.

a b c (Å): 3.6404 5.3202 7.9230
angles (deg): 90.00 90.00 90.00
Last column: nearest neighbours and their distance in Å.
Space group Immm (No. 71)
One atom of each set of equivalent atoms:
Zr1 0.0000 0.0000 0.2494  2 Cl 2.69, 2 Mn 2.69
Mn1 0.0000 0.5000 0.0000  4 Zr 2.69
Cl1 0.0000 0.5000 0.5000  4 Zr 2.69

Properties
**Energy relative to the elements, uncorrected**: 0.05 eV/atom
**Crystal system**: orthorhombic
**Energy relative to the lowest polymorph listed for this composition**: 2.219 eV/f.u.

***

24.
VASP calculation (PBE) on an optimized crystal structure of LaZrIn3.

a b c (Å): 5.7382 5.7382 5.7382
angles (deg): 90.00 90.00 90.00
Last column: nearest neighbours and their distance in Å.
Space group Pm-3m (No. 221)
One atom of each set of equivalent atoms:
La1 0.0000 0.0000 0.0000  6 In 2.87
Zr1 0.5000 0.5000 0.5000  12 In 4.06
In1 0.0000 0.0000 0.5000  2 La 2.87

Properties
**Crystal system**: cubic
**Energy relative to the elements**: 1152 meV/atom
**Energy relative to the lowest polymorph listed for this composition**: 5.388 eV/f.u.

***

25.
VASP calculation (PBE) on an optimized crystal structure of K2LiPuO6.

a b c (Å): 5.9140 5.9140 8.3362
angles (deg): 90.00 90.00 90.00
Last column: nearest neighbours and their distance in Å.
Space group I4/mmm (No. 139)
One atom of each set of equivalent atoms:
K1 0.0000 0.5000 0.2500  12 O 2.96
Li1 0.0000 0.0000 0.0000  6 O 2.21-2.22
Pu1 0.0000 0.0000 0.5000  6 O 1.96
O1 0.0000 0.0000 0.2651  1 Pu 1.96
O2 0.2340 0.2340 0.5000  1 Pu 1.96

Properties
**Energy relative to the elements, uncorrected**: -1.83 eV/atom
**Crystal system**: tetragonal

***

| no. | DOS at the Fermi energy (states/eV/atom) |
| --- | --- |
| 1 | 1.4944 |
| 2 | 0.2467 |
| 3 | 0.7588 |
| 4 | 0.9590 |
| 5 | 0.5992 |
| 6 | 0.9218 |
| 7 | 0.3107 |
| 8 | 0.8052 |
| 9 | 0.8032 |
| 10 | 2.0228 |
| 11 | 0.5768 |
| 12 | 0.7942 |
| 13 | 1.0955 |
| 14 | 1.1822 |
| 15 | 0.6233 |
| 16 | 3.9088 |
| 17 | 0.7239 |
| 18 | 0.4806 |
| 19 | 1.3807 |
| 20 | 2.1054 |
| 21 | 0.6024 |
| 22 | 2.5517 |
| 23 | 0.7230 |
| 24 | 1.3849 |
| 25 | 0.9187 |